1.
Here is crystalline TcC3 at its relaxed geometry from Alexandria via LeMat-Bulk. Energies are from PBE.

abc: 3.6695 3.6695 3.6695
angles: 60.00 60.00 60.00
With the nearest neighbours (Å) after each atom.
Fractional positions:
C1 0.5000 0.5000 0.5000  4 C 2.25, 4 Tc 2.25
C2 0.0000 0.0000 0.0000  4 Tc 2.25, 4 C 2.25
C3 0.2500 0.2500 0.2500  8 C 2.25
Tc1 0.7500 0.7500 0.7500  8 C 2.25

Computed properties:
size of the total moment	0.00	μB per formula unit
offset from the most stable computed form	2032.0	meV/atom
mass density	6.37	Mg/m³
SG	Fm-3m, No. 225

2.
Here is crystalline TcC3 at its relaxed geometry from Alexandria via LeMat-Bulk. Energies are from PBE.

abc: 3.9941 3.9941 3.9941
angles: 137.94 123.65 72.76
With the nearest neighbours (Å) after each atom.
Fractional positions:
C1 0.2598 0.3231 0.9367  1 C 1.43
C2 0.2075 0.5000 0.7075  2 C 1.43
C3 0.6135 0.6769 0.9367  1 C 1.43
Tc1 0.7525 0.0000 0.7525  8 C 2.18-2.24

Computed properties:
size of the total moment	0.00	μB per formula unit
offset from the most stable computed form	238.5	meV/atom
mass density	6.40	Mg/m³
SG	Imm2, No. 44

3.
Here is crystalline Tc3C at its relaxed geometry from Alexandria via LeMat-Bulk. Energies are from PBE.

abc: 2.7934 2.8334 6.4994
angles: 90.00 90.00 90.00
With the nearest neighbours (Å) after each atom.
Fractional positions:
Tc1 0.5000 0.5000 0.9508  4 C 2.14
Tc2 0.5000 0.0000 0.5753  2 C 2.17
Tc3 0.0000 0.5000 0.3095  10 Tc 2.63-2.83
C1 0.0000 0.0000 0.8311  6 Tc 2.14-2.17

Computed properties:
size of the total moment	0.00	μB per formula unit
offset from the most stable computed form	219.9	meV/atom
mass density	9.88	Mg/m³
SG	Pmm2, No. 25

4.
Here is crystalline TcC5 at its relaxed geometry from Alexandria via LeMat-Bulk. Energies are from PBE.

abc: 4.6557 4.6557 2.4161
angles: 90.00 90.00 120.00
With the nearest neighbours (Å) after each atom.
Fractional positions:
C1 0.3333 0.6667 0.0000  6 C 1.81
C2 0.5000 0.5000 0.5000  4 C 1.81
C3 0.0000 0.5000 0.5000  4 C 1.81
C4 0.6667 0.3333 0.0000  6 C 1.81
C5 0.5000 0.0000 0.5000  4 C 1.81
Tc1 0.0000 0.0000 0.0000  2 Tc 2.42, 18 C 2.62-2.69

Computed properties:
size of the total moment	0.25	μB per formula unit
offset from the most stable computed form	2271.6	meV/atom
mass density	5.79	Mg/m³
SG	P6/mmm, No. 191

5.
Here is crystalline TcC3 at its relaxed geometry from Alexandria via LeMat-Bulk. Energies are from PBE.

abc: 3.8748 3.8748 3.8748
angles: 141.76 116.77 76.36
With the nearest neighbours (Å) after each atom.
Fractional positions:
C1 0.8206 0.8206 0.0000  2 C 1.67
C2 0.1794 0.1794 0.0000  2 C 1.67
C3 0.0000 0.5000 0.5000  4 C 1.67
Tc1 0.5000 0.0000 0.5000  12 C 2.31-2.40, 2 Tc 2.54

Computed properties:
size of the total moment	0.00	μB per formula unit
offset from the most stable computed form	1023.2	meV/atom
mass density	7.09	Mg/m³
SG	Immm, No. 71

6.
Here is crystalline TcC2 at its relaxed geometry from Alexandria via LeMat-Bulk. Energies are from PBE.

abc: 3.9196 3.9196 4.1183
angles: 90.00 90.00 120.00
With the nearest neighbours (Å) after each atom.
Fractional positions:
C1 0.3333 0.6667 0.2500  5 Tc 2.06-2.26
C2 0.0000 0.0000 0.0000  2 C 2.06
C3 0.6667 0.3333 0.7500  5 Tc 2.06-2.26
C4 0.0000 0.0000 0.5000  2 C 2.06
Tc1 0.6667 0.3333 0.2500  5 C 2.06-2.26
Tc2 0.3333 0.6667 0.7500  5 C 2.06-2.26

Computed properties:
size of the total moment	0.00	μB per formula unit
offset from the most stable computed form	1550.2	meV/atom
mass density	7.40	Mg/m³
SG	P6_3/mmc, No. 194

| no. | E_form (eV/atom) |
| --- | --- |
| 1 | 2.814 |
| 2 | 1.020 |
| 3 | 0.230 |
| 4 | 2.992 |
| 5 | 1.805 |
| 6 | 2.006 |